Material: MoPbF3
Method: DFT, PBE+U
State: relaxed

Structure (extended XYZ):
```
5
Lattice="4.457 0.000 0.000 0.000 4.457 0.000 0.000 0.000 4.457" Properties=species:S:1:pos:R:3 pbc="T T T"
Mo 0.000 0.000 0.000
Pb 2.228 2.228 2.228
F 0.000 0.000 2.228
F 0.000 2.228 0.000
F 2.228 0.000 0.000
```

V: 88.52 Å³ per cell
Energy above the lowest structure with this stoichiometry: 0.000 eV/f.u.
E: -24.07 eV for the cell shown
Space-group type: No. 221